This record from Alexandria via LeMat-Bulk describes TmPaNi2O6 after structural relaxation. The functional is PBE with a Hubbard U.

Summary:
Density, Mg/m³: 8.02
Raw total energy, eV/atom: -7.3575

a b c (Å): 5.4945 5.6026 8.2502
angles (deg): 90.00 89.60 90.00
Last column: nearest neighbours and their distance in Å.
Fractional positions:
O 0.6529 0.3301 0.9201  1 Ni 2.00, 1 Pa 2.13, 1 Tm 2.23
O 0.8471 0.8301 0.5799  1 Ni 2.00, 1 Pa 2.13, 1 Tm 2.23
Tm 0.5000 0.0000 0.5000  6 O 2.21-2.29
Tm 0.0000 0.5000 0.0000  6 O 2.21-2.29
O 0.3562 0.8824 0.7492  2 Ni 2.04-2.13
Ni 0.9853 0.9757 0.2514  4 O 2.00-2.13
Ni 0.4853 0.5243 0.7514  4 O 2.00-2.13
Ni 0.0147 0.0243 0.7486  4 O 2.00-2.13
O 0.8354 0.8384 0.9177  1 Ni 2.00, 1 Pa 2.16, 1 Tm 2.21
Pa 0.5000 0.0000 0.0000  6 O 2.13-2.32
O 0.3471 0.6699 0.0799  1 Ni 2.00, 1 Pa 2.13, 1 Tm 2.23
O 0.3354 0.6616 0.4177  1 Ni 2.00, 1 Pa 2.16, 1 Tm 2.21
Pa 0.0000 0.5000 0.5000  6 O 2.13-2.32
O 0.1529 0.1699 0.4201  1 Ni 2.00, 1 Pa 2.13, 1 Tm 2.23
O 0.8562 0.6176 0.2492  2 Ni 2.04-2.13
O 0.1646 0.1616 0.0823  1 Ni 2.00, 1 Pa 2.16, 1 Tm 2.21
Ni 0.5147 0.4757 0.2486  4 O 2.00-2.13
O 0.6646 0.3384 0.5823  1 Ni 2.00, 1 Pa 2.16, 1 Tm 2.21
O 0.6438 0.1176 0.2508  2 Ni 2.04-2.13
O 0.1438 0.3824 0.7508  2 Ni 2.04-2.13